Entry from Alexandria: LiCaThAl after structural relaxation (GGA-PBE).

Lattice parameters (Å, degrees): 7.471 7.471 7.471 90.00 90.00 90.00
Space group F-43m (No. 216)
Asymmetric unit:
1 Li 0.000 0.000 0.000 (multiplicity 4)
2 Ca 0.250 0.250 0.750 (multiplicity 4)
3 Th 0.250 0.250 0.250 (multiplicity 4)
4 Al 0.000 0.000 0.500 (multiplicity 4)

Its electronic total energy is -15.159 eV/f.u. For the formation energy from the elements, the calculation gives -0.02 eV per atom.